(1)
{
  "formula": "NdCd11Sn",
  "functional": "PBE",
  "state": "relaxed",
  "total_energy_ev_per_atom": -1.525,
  "e_form_ev_per_atom": -0.076,
  "sg": "C2/m",
  "lattice": [[1.356, -4.615, 4.154], [4.620, -5.478, -2.654], [6.290, 1.346, 4.305]],
  "species": ["Nd", "Cd", "Cd", "Cd", "Cd", "Cd", "Cd", "Cd", "Cd", "Cd", "Cd", "Cd", "Sn"],
  "frac_coords": [[0.000, 0.000, 0.000], [0.273, 0.211, 0.215], [0.727, 0.789, 0.785], [0.512, 0.789, 0.215], [0.488, 0.211, 0.785], [0.344, 0.650, 0.646], [0.656, 0.350, 0.354], [0.010, 0.350, 0.646], [0.990, 0.650, 0.354], [0.000, 0.500, 0.000], [0.500, 0.000, 0.500], [0.000, 0.000, 0.500], [0.500, 0.500, 0.000]]
}


(2)
{
  "formula": "Na4HfPa3Se8",
  "functional": "PBE",
  "state": "relaxed",
  "formation_energy_uncorrected_ev_per_atom": -1.25,
  "total_energy_ev_per_atom": -5.726,
  "sg": "R-3m",
  "lattice": [[-0.149, -4.918, 6.266], [8.491, -1.229, -0.763], [-2.587, 7.497, 0.759]],
  "species": ["Na", "Na", "Na", "Na", "Hf", "Pa", "Pa", "Pa", "Se", "Se", "Se", "Se", "Se", "Se", "Se", "Se"],
  "frac_coords": [[0.500, 0.000, 0.000], [0.500, 0.000, 0.500], [0.000, 0.000, 0.000], [0.000, 0.000, 0.500], [0.000, 0.500, 0.000], [0.500, 0.500, 0.000], [0.500, 0.500, 0.500], [0.000, 0.500, 0.500], [0.236, 0.732, 0.996], [0.236, 0.732, 0.473], [0.252, 0.255, 0.503], [0.760, 0.732, 0.996], [0.240, 0.268, 0.004], [0.748, 0.745, 0.497], [0.764, 0.268, 0.527], [0.764, 0.268, 0.004]]
}


(3)
{
  "formula": "Cs6NaHg4",
  "functional": "PBE",
  "state": "relaxed",
  "total_energy_ev_per_atom": -0.863,
  "e_form_ev_per_atom": -0.168,
  "sg": "P6_3mc",
  "lattice": [[-1.752, -8.859, 2.398], [-1.996, -2.885, -12.120], [11.591, -0.969, 4.890]],
  "species": ["Cs", "Cs", "Cs", "Cs", "Cs", "Cs", "Cs", "Cs", "Cs", "Cs", "Cs", "Cs", "Na", "Na", "Hg", "Hg", "Hg", "Hg", "Hg", "Hg", "Hg", "Hg"],
  "frac_coords": [[0.455, 0.732, 0.866], [0.455, 0.134, 0.268], [0.455, 0.134, 0.866], [0.955, 0.268, 0.134], [0.955, 0.866, 0.732], [0.955, 0.866, 0.134], [0.634, 0.940, 0.470], [0.634, 0.530, 0.060], [0.634, 0.530, 0.470], [0.134, 0.060, 0.530], [0.134, 0.470, 0.940], [0.134, 0.470, 0.530], [0.751, 0.333, 0.667], [0.251, 0.667, 0.333], [0.413, 0.333, 0.667], [0.913, 0.667, 0.333], [0.854, 0.610, 0.805], [0.854, 0.195, 0.390], [0.854, 0.195, 0.805], [0.354, 0.390, 0.195], [0.354, 0.805, 0.610], [0.354, 0.805, 0.195]]
}


(4)
{
  "formula": "Ba4AcSn4",
  "functional": "PBE",
  "state": "relaxed",
  "total_energy_ev_per_atom": -3.599,
  "e_form_ev_per_atom": -0.509,
  "sg": "P4_2/n",
  "lattice": [[-7.049, 1.789, -0.003], [-2.553, -10.061, -1.904], [-0.473, -1.845, 10.379]],
  "species": ["Ba", "Ba", "Ba", "Ba", "Ba", "Ba", "Ba", "Ba", "Ac", "Ac", "Sn", "Sn", "Sn", "Sn", "Sn", "Sn", "Sn", "Sn"],
  "frac_coords": [[0.364, 0.301, 0.919], [0.864, 0.581, 0.801], [0.364, 0.699, 0.081], [0.136, 0.199, 0.581], [0.636, 0.919, 0.699], [0.136, 0.801, 0.419], [0.864, 0.419, 0.199], [0.636, 0.081, 0.301], [0.000, 0.000, 0.000], [0.500, 0.500, 0.500], [0.656, 0.758, 0.373], [0.656, 0.242, 0.627], [0.156, 0.873, 0.742], [0.844, 0.258, 0.873], [0.844, 0.742, 0.127], [0.344, 0.373, 0.242], [0.344, 0.627, 0.758], [0.156, 0.127, 0.258]]
}


(5)
{
  "formula": "Ac5La2TbSm",
  "functional": "PBE",
  "state": "relaxed",
  "total_energy_ev_per_atom": -4.155,
  "e_form_ev_per_atom": 0.261,
  "sg": "I4/mcm",
  "lattice": [[-6.809, -5.048, 0.890], [4.809, -5.780, 4.012], [-1.137, 9.883, 6.550]],
  "species": ["Ac", "Ac", "Ac", "Ac", "Ac", "Ac", "Ac", "Ac", "Ac", "Ac", "La", "La", "La", "La", "Tb", "Tb", "Sm", "Sm"],
  "frac_coords": [[0.911, 0.411, 0.280], [0.631, 0.131, 0.720], [0.089, 0.589, 0.720], [0.131, 0.089, 0.720], [0.589, 0.631, 0.720], [0.869, 0.911, 0.280], [0.411, 0.369, 0.280], [0.369, 0.869, 0.280], [0.500, 0.500, 0.000], [0.000, 0.000, 0.000], [0.121, 0.379, 0.000], [0.621, 0.121, 0.000], [0.379, 0.879, 0.000], [0.879, 0.621, 0.000], [0.250, 0.750, 0.500], [0.750, 0.250, 0.500], [0.250, 0.250, 0.500], [0.750, 0.750, 0.500]]
}


(6)
{
  "formula": "TmHg3Pb",
  "functional": "PBE",
  "state": "relaxed",
  "total_energy_ev_per_atom": -1.929,
  "e_form_ev_per_atom": -0.112,
  "e_above_lowest_polymorph_mev_per_atom": 40,
  "sg": "P2_1/m",
  "lattice": [[-2.511, 4.099, -3.938], [-5.501, -1.814, 1.620], [0.631, 3.920, 6.532]],
  "species": ["Tm", "Tm", "Hg", "Hg", "Hg", "Hg", "Hg", "Hg", "Pb", "Pb"],
  "frac_coords": [[0.197, 0.750, 0.002], [0.803, 0.250, 0.998], [0.080, 0.996, 0.327], [0.920, 0.496, 0.673], [0.920, 0.004, 0.673], [0.080, 0.504, 0.327], [0.374, 0.250, 0.113], [0.626, 0.750, 0.887], [0.395, 0.250, 0.662], [0.605, 0.750, 0.338]]
}